Entry 1:
Below is a relaxed structure of Sc2SbW, with properties calculated at the GGA-PBEsol level.

Results
energy: -30.782 eV per formula unit

a = 3.2367 Å, b = 3.2367 Å, c = 27.8247 Å
α = 90.00°, β = 90.00°, γ = 120.00°
Space group R3m (No. 160, hexagonal axes)
Symmetry-distinct sites (fractional):
Sc  0.0000  0.0000  0.0000 [3 per cell]
Sc  0.0000  0.0000  0.2360 [3 per cell]
Sb  0.0000  0.0000  0.7527 [3 per cell]
W  0.0000  0.0000  0.4910 [3 per cell]

***

Entry 2:
Below is a relaxed structure of YSc2Sb, with properties calculated at the GGA-PBEsol level.

Results
energy: -26.012 eV per formula unit

a = 6.218 Å, b = 10.334 Å, c = 3.297 Å
α = 90.00°, β = 114.37°, γ = 90.00°
Space group C2/m (No. 12)
Symmetry-distinct sites (fractional):
Y  0.000  0.000  0.000 [2 per cell]
Sc  0.250  0.250  0.500 [4 per cell]
Sb  0.000  0.500  0.000 [2 per cell]

***

Entry 3:
Below is a relaxed structure of Y2ScSb2, with properties calculated at the GGA-PBEsol level.

Results
energy: -34.326 eV per formula unit

a = 7.839 Å, b = 7.839 Å, c = 4.172 Å
α = 90.00°, β = 90.00°, γ = 90.00°
Space group P4/mbm (No. 127)
Symmetry-distinct sites (fractional):
Y  0.157  0.343  0.000 [4 per cell]
Sc  0.000  0.000  0.500 [2 per cell]
Sb  0.148  0.648  0.500 [4 per cell]

***

Entry 4:
Below is a relaxed structure of YScSb2, with properties calculated at the GGA-PBEsol level.

Results
energy: -25.775 eV per formula unit
energy above the most stable polymorph in this dataset: 274 meV/atom

a = 6.457 Å, b = 7.745 Å, c = 3.876 Å
α = 90.00°, β = 90.00°, γ = 90.00°
Space group Cmmm (No. 65)
Symmetry-distinct sites (fractional):
Y  0.000  0.000  0.000 [2 per cell]
Sc  0.000  0.500  0.000 [2 per cell]
Sb  0.250  0.250  0.500 [4 per cell]

***

no.,formation energy (no corrections) (meV per atom),calculated density (g cm⁻³)
1,198,7.81
2,-355,5.17
3,-992,6.04
4,-808,6.47